No. 1
HoTmGaRu, relaxed, DFT GGA-PBE; density of states at the Fermi level = 9.5 states/eV per cell; total moment = 0.00 μB per formula unit; density = 10.16 g/cm³; energy above the most stable polymorph in this dataset = 0.080 eV/f.u.; calculated total energy = -5.826 eV per atom
1.0
6.909 0.000 0.000
0.000 6.909 0.000
0.000 0.000 6.909
Ho Tm Ga Ru
4 4 4 4
direct
0.000 0.000 0.000
0.000 0.500 0.500
0.500 0.000 0.500
0.500 0.500 0.000
0.000 0.000 0.500
0.000 0.500 0.000
0.500 0.000 0.000
0.500 0.500 0.500
0.250 0.250 0.750
0.250 0.750 0.250
0.750 0.250 0.250
0.750 0.750 0.750
0.250 0.250 0.250
0.250 0.750 0.750
0.750 0.250 0.750
0.750 0.750 0.250

***

No. 2
Ho2UGa2Ru5, relaxed, DFT GGA-PBE; density of states at the Fermi level = 12.5 states/eV per cell; total moment = 0.00 μB per formula unit; density = 11.56 g/cm³; calculated total energy = -7.773 eV per atom
1.0
9.977 0.000 0.000
0.000 9.977 0.000
0.000 0.000 3.500
Ho U Ga Ru
4 2 4 10
direct
0.168 0.332 0.000
0.332 0.832 0.000
0.668 0.168 0.000
0.832 0.668 0.000
0.000 0.000 0.000
0.500 0.500 0.000
0.128 0.628 0.000
0.372 0.128 0.000
0.628 0.872 0.000
0.872 0.372 0.000
0.000 0.500 0.500
0.069 0.802 0.500
0.198 0.069 0.500
0.302 0.569 0.500
0.431 0.302 0.500
0.500 0.000 0.500
0.569 0.698 0.500
0.698 0.431 0.500
0.802 0.931 0.500
0.931 0.198 0.500

***

No. 3
Ho2VGa2Ru5, relaxed, DFT GGA-PBE; density of states at the Fermi level = 17.9 states/eV per cell; total moment = 0.00 μB per formula unit; density = 10.33 g/cm³; calculated total energy = -7.407 eV per atom
1.0
10.025 0.000 0.000
0.000 10.025 0.000
0.000 0.000 3.279
Ho V Ga Ru
4 2 4 10
direct
0.170 0.330 0.000
0.330 0.830 0.000
0.670 0.170 0.000
0.830 0.670 0.000
0.000 0.000 0.000
0.500 0.500 0.000
0.130 0.630 0.000
0.370 0.130 0.000
0.630 0.870 0.000
0.870 0.370 0.000
0.000 0.500 0.500
0.063 0.809 0.500
0.191 0.063 0.500
0.309 0.563 0.500
0.437 0.309 0.500
0.500 0.000 0.500
0.563 0.691 0.500
0.691 0.437 0.500
0.809 0.937 0.500
0.937 0.191 0.500

***

No. 4
Ho2ZnGaRu2, relaxed, DFT GGA-PBE; density of states at the Fermi level = 4.9 states/eV per cell; total moment = 0.00 μB per formula unit; density = 9.67 g/cm³; calculated total energy = -5.725 eV per atom
1.0
-2.858 6.986 2.869
2.858 -6.986 2.869
2.858 6.986 -2.869
Ho Zn Ga Ru
4 2 2 4
direct
0.170 0.244 0.414
0.330 0.744 0.073
0.670 0.256 0.927
0.830 0.756 0.586
0.250 0.250 0.000
0.750 0.750 0.000
0.250 0.750 0.500
0.750 0.250 0.500
0.118 0.739 0.858
0.382 0.239 0.621
0.618 0.761 0.379
0.882 0.261 0.142

***

No. 5
Ho2ZnGa4Ru3, relaxed, DFT GGA-PBE; density of states at the Fermi level = 7.0 states/eV per cell; total moment = 0.00 μB per formula unit; density = 9.05 g/cm³; calculated total energy = -5.449 eV per atom
1.0
3.936 0.000 0.000
0.000 3.936 0.000
0.000 0.000 11.574
Ho Zn Ga Ru
2 1 4 3
direct
0.000 0.500 0.233
0.500 0.000 0.767
0.000 0.000 0.500
0.000 0.000 0.000
0.000 0.500 0.640
0.500 0.000 0.360
0.500 0.500 0.000
0.000 0.500 0.857
0.500 0.000 0.143
0.500 0.500 0.500

***

No. 6
HoZr2GaRu4, relaxed, DFT GGA-PBE; density of states at the Fermi level = 3.0 states/eV per cell; total moment = 0.00 μB per formula unit; density = 9.97 g/cm³; calculated total energy = -8.233 eV per atom
1.0
2.295 1.325 7.498
-2.295 1.325 7.498
0.000 -2.650 7.498
Ho Zr Ga Ru
1 2 1 4
direct
0.000 0.000 0.000
0.244 0.244 0.244
0.756 0.756 0.756
0.500 0.500 0.500
0.126 0.126 0.126
0.379 0.379 0.379
0.621 0.621 0.621
0.874 0.874 0.874

***

No. 7
Ho2GaS, relaxed, DFT GGA-PBE; density of states at the Fermi level = 9.6 states/eV per cell; total moment = 0.00 μB per formula unit; raw formation energy = -1.1722 eV per atom; density = 7.71 g/cm³; energy above the most stable polymorph in this dataset = 0.618 eV/f.u.; calculated total energy = -5.250 eV per atom
1.0
3.752 0.000 0.000
-1.876 3.249 0.000
0.000 0.000 22.876
Ho Ga S
6 3 3
direct
0.000 0.000 0.000
0.000 0.000 0.188
0.333 0.667 0.667
0.333 0.667 0.855
0.667 0.333 0.333
0.667 0.333 0.521
0.000 0.000 0.427
0.333 0.667 0.094
0.667 0.333 0.761
0.000 0.000 0.596
0.333 0.667 0.262
0.667 0.333 0.929

***

No. 8
HoGaS, relaxed, DFT GGA-PBE; density of states at the Fermi level = 0.9 states/eV per cell; total moment = 0.00 μB per formula unit; raw formation energy = -1.1792 eV per atom; density = 5.72 g/cm³; calculated total energy = -5.090 eV per atom
1.0
2.060 1.189 10.541
-2.060 1.189 10.541
0.000 -2.379 10.541
Ho Ga S
2 2 2
direct
0.075 0.075 0.075
0.925 0.925 0.925
0.340 0.340 0.340
0.660 0.660 0.660
0.222 0.222 0.222
0.778 0.778 0.778

***

No. 9
Ho3GaS2, relaxed, DFT GGA-PBE; density of states at the Fermi level = 2.0 states/eV per cell; total moment = 0.00 μB per formula unit; raw formation energy = -1.5374 eV per atom; density = 7.82 g/cm³; calculated total energy = -5.707 eV per atom
1.0
3.865 0.000 0.000
0.000 5.639 0.000
0.000 0.000 12.255
Ho Ga S
6 2 4
direct
0.000 0.000 0.000
0.000 0.000 0.327
0.000 0.000 0.673
0.500 0.500 0.173
0.500 0.500 0.500
0.500 0.500 0.827
0.000 0.500 0.000
0.500 0.000 0.500
0.000 0.500 0.334
0.000 0.500 0.666
0.500 0.000 0.166
0.500 0.000 0.834

***

No. 10
HoGa2S4, relaxed, DFT GGA-PBE; density of states at the Fermi level = 1.8 states/eV per cell; total moment = 0.00 μB per formula unit; raw formation energy = -0.9069 eV per atom; density = 4.02 g/cm³; calculated total energy = -4.784 eV per atom
1.0
5.367 0.000 0.000
0.000 5.367 0.000
0.000 0.000 6.207
Ho Ga S
1 2 4
direct
0.000 0.000 0.000
0.000 0.500 0.500
0.500 0.000 0.500
0.264 0.264 0.271
0.264 0.736 0.729
0.736 0.264 0.729
0.736 0.736 0.271